(1)
The following is a GGA-PBE calculation of a geometry-optimized CaTlIn2Br6 structure, from the Alexandria database.

a = 7.6439 Å, b = 7.6457 Å, c = 8.6227 Å
α = 89.98°, β = 116.28°, γ = 120.04°
Positions (direct):
Ca 0.9755 0.9873 0.9488
Tl 0.0063 0.5027 0.4952
In 0.5958 0.7973 0.3789
In 0.6208 0.3097 0.9166
Br 0.5307 0.9469 0.6995
Br 0.4537 0.0853 0.1546
Br 0.8012 0.7146 0.1546
Br 0.0833 0.3674 0.1548
Br 0.7669 0.5828 0.6996
Br 0.1314 0.1835 0.6999

Results
SG   No. 1
E_form (uncorrected)   -106 kJ/mol of atoms
Volume   374.9 Å³/f.u.
Total DFT energy (no corrections)   -3.0853 eV/atom

***

(2)
The following is a GGA-PBE calculation of a geometry-optimized CaTlInBr6 structure, from the Alexandria database.

a = 7.3386 Å, b = 7.3386 Å, c = 14.3990 Å
α = 90.00°, β = 90.00°, γ = 120.00°
Positions (direct):
Ca 0.3333 0.6667 0.2500
Ca 0.6667 0.3333 0.7500
Tl 0.0000 0.0000 0.0000
Tl 0.0000 0.0000 0.5000
In 0.6667 0.3333 0.2500
In 0.3333 0.6667 0.7500
Br 0.6415 0.6219 0.1392
Br 0.9804 0.3585 0.1392
Br 0.3585 0.9804 0.6392
Br 0.0196 0.6415 0.8608
Br 0.3781 0.3585 0.3608
Br 0.9804 0.6219 0.3608
Br 0.6219 0.9804 0.8608
Br 0.6415 0.0196 0.3608
Br 0.0196 0.3781 0.6392
Br 0.3781 0.0196 0.1392
Br 0.6219 0.6415 0.6392
Br 0.3585 0.3781 0.8608

Results
SG   No. 163
E_form (uncorrected)   -119 kJ/mol of atoms
Volume   335.8 Å³/f.u.
Total DFT energy (no corrections)   -3.1422 eV/atom

***

(3)
The following is a GGA-PBE calculation of a geometry-optimized CaTl2InBr5 structure, from the Alexandria database.

a = 4.3886 Å, b = 9.7205 Å, c = 17.1994 Å
α = 90.00°, β = 90.00°, γ = 103.05°
Positions (direct):
Ca 0.7414 0.4827 0.5343
Ca 0.2586 0.5173 0.0343
Tl 0.8464 0.6927 0.7583
Tl 0.0544 0.1088 0.6582
Tl 0.1536 0.3073 0.2583
Tl 0.9456 0.8912 0.1582
In 0.5604 0.1209 0.9401
In 0.4396 0.8791 0.4401
Br 0.4103 0.8207 0.0225
Br 0.7393 0.4787 0.9232
Br 0.4672 0.9344 0.7726
Br 0.2321 0.4643 0.6510
Br 0.8945 0.7891 0.5639
Br 0.5897 0.1793 0.5225
Br 0.2607 0.5213 0.4232
Br 0.5328 0.0656 0.2726
Br 0.7679 0.5357 0.1510
Br 0.1055 0.2109 0.0639

Results
SG   No. 36
E_form (uncorrected)   -115 kJ/mol of atoms
Volume   357.4 Å³/f.u.
Total DFT energy (no corrections)   -3.1716 eV/atom

***

(4)
The following is a GGA-PBE calculation of a geometry-optimized CaTl3In3Br8 structure, from the Alexandria database.

a = 9.4111 Å, b = 9.4158 Å, c = 9.4358 Å
α = 119.96°, β = 90.00°, γ = 119.98°
Positions (direct):
Ca 0.0000 0.0000 0.5000
Tl 0.0000 0.0000 0.0000
Tl 0.0000 0.5000 0.0000
Tl 0.5000 0.5000 0.0000
In 0.5000 0.0000 0.5000
In 0.5000 0.5000 0.5000
In 0.0000 0.5000 0.5000
Br 0.2510 0.5019 0.2530
Br 0.7490 0.4981 0.7470
Br 0.7790 0.5581 0.2808
Br 0.2210 0.4419 0.7192
Br 0.7792 0.0020 0.2811
Br 0.2208 0.9980 0.7189
Br 0.2228 0.0020 0.2811
Br 0.7772 0.9980 0.7189

Results
SG   No. 166
E_form (uncorrected)   -98 kJ/mol of atoms
Volume   591.8 Å³/f.u.
Total DFT energy (no corrections)   -3.0657 eV/atom

***

(5)
The following is a GGA-PBE calculation of a geometry-optimized CaTlIn2Br5 structure, from the Alexandria database.

a = 4.3766 Å, b = 9.7934 Å, c = 17.0952 Å
α = 90.00°, β = 90.00°, γ = 102.91°
Positions (direct):
Ca 0.7475 0.4949 0.5356
Ca 0.2525 0.5051 0.0356
Tl 0.5593 0.1185 0.9399
Tl 0.4407 0.8815 0.4399
In 0.8549 0.7099 0.7568
In 0.0639 0.1279 0.6547
In 0.1451 0.2901 0.2568
In 0.9361 0.8721 0.1547
Br 0.4036 0.8073 0.0239
Br 0.7338 0.4676 0.9236
Br 0.4699 0.9398 0.7682
Br 0.2364 0.4728 0.6525
Br 0.8992 0.7984 0.5687
Br 0.5964 0.1927 0.5239
Br 0.2662 0.5324 0.4236
Br 0.5301 0.0602 0.2682
Br 0.7636 0.5272 0.1525
Br 0.1008 0.2016 0.0687

Results
SG   No. 36
E_form (uncorrected)   -110 kJ/mol of atoms
Volume   357.1 Å³/f.u.
Total DFT energy (no corrections)   -3.1653 eV/atom

***

(6)
The following is a GGA-PBE calculation of a geometry-optimized CaYInBr6 structure, from the Alexandria database.

a = 7.4461 Å, b = 7.4461 Å, c = 14.2827 Å
α = 90.00°, β = 90.00°, γ = 120.00°
Positions (direct):
Ca 0.3333 0.6667 0.2500
Ca 0.6667 0.3333 0.7500
Y 0.6667 0.3333 0.2500
Y 0.3333 0.6667 0.7500
In 0.0000 0.0000 0.0000
In 0.0000 0.0000 0.5000
Br 0.6373 0.6274 0.1362
Br 0.9901 0.3627 0.1362
Br 0.3627 0.9901 0.6362
Br 0.0099 0.6373 0.8638
Br 0.3726 0.3627 0.3638
Br 0.9901 0.6274 0.3638
Br 0.6274 0.9901 0.8638
Br 0.6373 0.0099 0.3638
Br 0.0099 0.3726 0.6362
Br 0.3726 0.0099 0.1362
Br 0.6274 0.6373 0.6362
Br 0.3627 0.3726 0.8638

Results
SG   No. 163
E_form (uncorrected)   -161 kJ/mol of atoms
Volume   342.9 Å³/f.u.
Total DFT energy (no corrections)   -4.0333 eV/atom

***

(7)
The following is a GGA-PBE calculation of a geometry-optimized CaIrBr2 structure, from the Alexandria database.

a = 8.1574 Å, b = 8.1574 Å, c = 8.1574 Å
α = 29.42°, β = 29.42°, γ = 29.42°
Positions (direct):
Ca 0.4895 0.4895 0.4895
Ir 0.7356 0.7356 0.7356
Br 0.0481 0.0481 0.0481
Br 0.2267 0.2267 0.2267

Results
SG   No. 160
E_form (uncorrected)   -51 kJ/mol of atoms
Volume   115.9 Å³/f.u.
Excess energy over the best structure of this formula in the dataset   0.0396 eV per atom
Total DFT energy (no corrections)   -4.0778 eV/atom

***

(8)
The following is a GGA-PBE calculation of a geometry-optimized CaIrBr4 structure, from the Alexandria database.

a = 6.2640 Å, b = 6.2640 Å, c = 6.2640 Å
α = 60.00°, β = 60.00°, γ = 60.00°
Last column: magnetic moment on the atom in μB.
Positions (direct):
Ca 0.7500 0.7500 0.7500  0.01
Ir 0.0000 0.0000 0.0000  2.18
Br 0.8768 0.3744 0.3744  0.32
Br 0.3744 0.3744 0.8768  0.32
Br 0.3744 0.8768 0.3744  0.32
Br 0.3744 0.3744 0.3744  0.32

Results
SG   No. 216
E_form (uncorrected)   64 kJ/mol of atoms
Volume   173.8 Å³/f.u.
Total DFT energy (no corrections)   -2.2670 eV/atom

***

(9)
The following is a GGA-PBE calculation of a geometry-optimized CaIrBr6 structure, from the Alexandria database.

a = 7.1215 Å, b = 7.1215 Å, c = 6.9691 Å
α = 103.48°, β = 103.48°, γ = 104.52°
Last column: magnetic moment on the atom in μB.
Positions (direct):
Ca 0.0000 0.0000 0.5000  0.00
Ir 0.0000 0.0000 0.0000  0.62
Br 0.2851 0.9680 0.2672  0.04
Br 0.9680 0.2851 0.2672  0.04
Br 0.0320 0.7149 0.7328  0.04
Br 0.7149 0.0320 0.7328  0.04
Br 0.2554 0.2554 0.9168  0.06
Br 0.7446 0.7446 0.0832  0.06

Results
SG   No. 12
E_form (uncorrected)   -81 kJ/mol of atoms
Volume   316.4 Å³/f.u.
Excess energy over the best structure of this formula in the dataset   0.0000 eV per atom
Total DFT energy (no corrections)   -3.4557 eV/atom

***

(10)
The following is a GGA-PBE calculation of a geometry-optimized CaIrBr2 structure, from the Alexandria database.

a = 4.9687 Å, b = 4.9687 Å, c = 9.0128 Å
α = 74.00°, β = 74.00°, γ = 90.00°
Positions (direct):
Ca 0.5000 0.5000 0.0000
Ca 0.2500 0.7500 0.5000
Ir 0.0000 0.0000 0.0000
Ir 0.7500 0.2500 0.5000
Br 0.6714 0.1250 0.2500
Br 0.0786 0.6250 0.2500
Br 0.3750 0.3286 0.7500
Br 0.8750 0.9214 0.7500

Results
SG   No. 122
E_form (uncorrected)   -25 kJ/mol of atoms
Volume   102.5 Å³/f.u.
Excess energy over the best structure of this formula in the dataset   0.3024 eV per atom
Total DFT energy (no corrections)   -3.8150 eV/atom

***

(11)
The following is a GGA-PBE calculation of a geometry-optimized CaIrBr3 structure, from the Alexandria database.

a = 5.6101 Å, b = 5.6101 Å, c = 5.6101 Å
α = 90.00°, β = 90.00°, γ = 90.00°
Last column: magnetic moment on the atom in μB.
Positions (direct):
Ca 0.0000 0.0000 0.0000  0.00
Ir 0.5000 0.5000 0.5000  2.83
Br 0.0000 0.5000 0.0000  0.08
Br 0.0000 0.0000 0.5000  0.08
Br 0.5000 0.0000 0.0000  0.08

Results
SG   No. 221
E_form (uncorrected)   12 kJ/mol of atoms
Volume   176.6 Å³/f.u.
Total DFT energy (no corrections)   -3.0542 eV/atom

***

(12)
The following is a GGA-PBE calculation of a geometry-optimized CaIrBr2 structure, from the Alexandria database.

a = 7.2633 Å, b = 7.2633 Å, c = 7.2633 Å
α = 148.55°, β = 143.03°, γ = 49.31°
Last column: magnetic moment on the atom in μB.
Positions (direct):
Ca 0.2500 0.7500 0.5000  -0.01
Ir 0.7500 0.2500 0.5000  0.74
Br 0.8871 0.8871 0.0000  0.09
Br 0.6129 0.6129 0.0000  0.09

Results
SG   No. 71
E_form (uncorrected)   -48 kJ/mol of atoms
Volume   119.7 Å³/f.u.
Excess energy over the best structure of this formula in the dataset   0.0717 eV per atom
Total DFT energy (no corrections)   -4.0457 eV/atom

***

> volume of number 11 (CaIrBr3)?

176.6 Å³/f.u.